[1]
{"formula": "Tb3CrS6", "functional": "PBE", "state": "relaxed", "cell": [[3.791, 0.000, 0.000], [0.000, 13.357, 0.000], [0.000, 0.000, 15.957]], "species": ["S", "S", "S", "S", "Tb", "S", "Tb", "S", "Tb", "S", "S", "Cr", "S", "S", "S", "Tb", "S", "S", "S", "S", "Cr", "Cr", "Tb", "Tb", "Tb", "Tb", "Tb", "S", "S", "Cr", "S", "S", "S", "S", "S", "S", "Tb", "S", "Tb", "Tb"], "frac_coords": [[0.000, 0.897, 0.246], [0.500, 0.311, 0.790], [0.500, 0.689, 0.210], [0.000, 0.477, 0.903], [0.500, 0.051, 0.221], [0.000, 0.581, 0.575], [0.000, 0.551, 0.279], [0.500, 0.603, 0.746], [0.000, 0.449, 0.721], [0.500, 0.081, 0.925], [0.500, 0.320, 0.020], [0.000, 0.000, 0.000], [0.500, 0.621, 0.393], [0.500, 0.919, 0.075], [0.500, 0.397, 0.254], [0.000, 0.681, 0.852], [0.000, 0.523, 0.097], [0.000, 0.103, 0.754], [0.500, 0.379, 0.607], [0.000, 0.121, 0.107], [0.500, 0.500, 0.500], [0.500, 0.500, 0.000], [0.000, 0.319, 0.148], [0.500, 0.742, 0.598], [0.500, 0.181, 0.648], [0.000, 0.758, 0.098], [0.000, 0.242, 0.902], [0.500, 0.680, 0.980], [0.000, 0.189, 0.290], [0.000, 0.000, 0.500], [0.000, 0.419, 0.425], [0.000, 0.879, 0.893], [0.000, 0.820, 0.480], [0.000, 0.811, 0.710], [0.000, 0.180, 0.520], [0.500, 0.977, 0.597], [0.500, 0.258, 0.402], [0.500, 0.023, 0.403], [0.500, 0.819, 0.352], [0.500, 0.949, 0.779]], "crystal_system": "orthorhombic", "density_g_cm3": 5.9, "e_form_raw_ev_per_fu": -17.4, "relative_energy_ev_per_atom": 0.000}


[2]
{"formula": "CdInPdAu", "functional": "PBE", "state": "relaxed", "cell": [[3.330, 0.000, 0.000], [0.000, 3.330, 0.000], [0.000, 0.000, 6.780]], "species": ["Au", "In", "Cd", "Pd"], "frac_coords": [[0.500, 0.500, 0.109], [0.000, 0.000, 0.372], [0.000, 0.000, 0.848], [0.500, 0.500, 0.599]], "crystal_system": "tetragonal", "density_g_cm3": 11.7, "delta_e_f_ev_per_atom": -0.31}


[3]
{"formula": "Rb3InHg8", "functional": "PBE", "state": "relaxed", "cell": [[6.163, 0.000, 1.828], [2.810, 5.485, 1.828], [-0.048, -0.030, 11.466]], "species": ["In", "Hg", "Rb", "Hg", "Hg", "Hg", "Hg", "Rb", "Rb", "Hg", "Hg", "Hg"], "frac_coords": [[0.125, 0.125, 0.624], [0.063, 0.564, 0.809], [0.495, 0.495, 0.514], [0.564, 0.063, 0.809], [0.812, 0.812, 0.564], [0.062, 0.559, 0.317], [0.313, 0.313, 0.062], [0.006, 0.006, 0.983], [0.624, 0.624, 0.127], [0.559, 0.062, 0.317], [0.062, 0.062, 0.317], [0.564, 0.564, 0.809]], "crystal_system": "trigonal", "density_g_cm3": 8.5, "delta_e_f_ev_per_atom": -0.15}


[4]
{"formula": "La6Er5Tm", "functional": "PBE", "state": "relaxed", "cell": [[6.135, -0.072, 0.219], [-0.017, 6.862, 2.815], [0.237, 0.064, 9.631]], "species": ["La", "La", "La", "La", "Er", "Er", "Er", "Er", "La", "La", "Tm", "Er"], "frac_coords": [[0.834, 0.083, 0.333], [0.834, 0.584, 0.333], [0.500, 0.250, 0.000], [0.500, 0.750, 0.000], [0.666, 0.667, 0.667], [0.334, 0.833, 0.333], [0.000, 0.500, 0.000], [0.334, 0.333, 0.333], [0.166, 0.917, 0.667], [0.166, 0.416, 0.667], [0.000, 0.000, 0.000], [0.666, 0.167, 0.667]], "crystal_system": "monoclinic", "density_g_cm3": 7.6, "delta_e_f_ev_per_atom": 0.03}


[5]
{"formula": "Ag2OsPt", "functional": "PBE", "state": "relaxed", "cell": [[-6.937, 0.393, -6.796], [-5.999, -2.169, -7.332], [-7.914, -1.775, -5.355]], "species": ["Ag", "Pt", "Ag", "Os"], "frac_coords": [[0.000, 0.000, 0.000], [0.750, 0.750, 0.750], [0.500, 0.500, 0.500], [0.250, 0.250, 0.250]], "crystal_system": "trigonal", "density_g_cm3": 15.5, "relative_energy_ev_per_atom": 0.071, "delta_e_f_ev_per_atom": 0.33}


[6]
{"formula": "NaMg2Bi", "functional": "PBE", "state": "relaxed", "cell": [[-2.110, 0.883, 4.093], [3.758, -1.613, 2.285], [1.839, 4.309, 0.018]], "species": ["Bi", "Mg", "Na", "Mg"], "frac_coords": [[0.500, 0.000, 0.000], [0.000, 0.000, 0.500], [0.500, 0.500, 0.500], [0.000, 0.500, 0.000]], "crystal_system": "tetragonal", "density_g_cm3": 4.5, "relative_energy_ev_per_atom": 0.025, "delta_e_f_ev_per_atom": -0.14}


[7]
{"formula": "BiRhO4", "functional": "PBE", "state": "relaxed", "cell": [[-5.175, 1.909, -2.514], [4.963, -1.620, -4.712], [-1.367, -4.299, 3.491]], "species": ["Bi", "O", "O", "Bi", "Rh", "O", "O", "O", "O", "O", "Rh", "O"], "frac_coords": [[0.369, 0.619, 0.239], [0.096, 0.676, 0.961], [0.365, 0.285, 0.961], [0.631, 0.381, 0.761], [0.240, 0.990, 0.981], [0.823, 0.831, 0.707], [0.904, 0.324, 0.039], [0.177, 0.169, 0.293], [0.635, 0.715, 0.039], [0.617, 0.125, 0.293], [0.760, 0.010, 0.019], [0.383, 0.875, 0.707]], "crystal_system": "monoclinic", "density_g_cm3": 7.2, "e_form_raw_ev_per_fu": -4.9}


[8]
{"formula": "Rb2SiPdCl6", "functional": "PBE", "state": "relaxed", "cell": [[7.090, 0.000, 0.000], [0.000, 7.090, 0.000], [3.545, 3.545, 4.997]], "species": ["Cl", "Cl", "Rb", "Cl", "Rb", "Cl", "Cl", "Pd", "Cl", "Si"], "frac_coords": [[0.736, 0.736, 0.528], [0.265, 0.265, 0.000], [0.750, 0.250, 0.500], [0.735, 0.265, 0.000], [0.250, 0.750, 0.500], [0.735, 0.735, 0.000], [0.264, 0.264, 0.472], [0.000, 0.000, 0.000], [0.265, 0.735, 0.000], [0.500, 0.500, 0.000]], "crystal_system": "tetragonal", "density_g_cm3": 3.4, "e_form_raw_ev_per_fu": -11.6}


[9]
{"formula": "NaPd4Pb2", "functional": "PBE", "state": "relaxed", "cell": [[4.536, 0.000, 0.000], [0.000, 7.972, 0.000], [0.000, 0.000, 7.972]], "species": ["Pd", "Pb", "Pb", "Pd", "Pd", "Pd", "Pd", "Pd", "Pd", "Pb", "Na", "Na", "Pb", "Pd"], "frac_coords": [[0.500, 0.138, 0.604], [0.000, 0.214, 0.786], [0.500, 0.714, 0.714], [0.000, 0.104, 0.362], [0.500, 0.604, 0.138], [0.000, 0.896, 0.638], [0.500, 0.862, 0.396], [0.000, 0.362, 0.104], [0.500, 0.396, 0.862], [0.500, 0.286, 0.286], [0.500, 0.000, 0.000], [0.000, 0.500, 0.500], [0.000, 0.786, 0.214], [0.000, 0.638, 0.896]], "crystal_system": "tetragonal", "density_g_cm3": 9.9, "relative_energy_ev_per_atom": 0.000, "delta_e_f_ev_per_atom": -0.22}


[10]
{"formula": "HgPd2Cl6", "functional": "PBE", "state": "relaxed", "cell": [[7.619, -0.431, -0.418], [1.647, 8.241, -0.795], [1.647, -0.528, 8.262]], "species": ["Pd", "Hg", "Cl", "Cl", "Cl", "Pd", "Cl", "Cl", "Cl", "Cl", "Pd", "Cl", "Cl", "Cl", "Cl", "Cl", "Hg", "Pd"], "frac_coords": [[0.755, 0.749, 0.749], [0.250, 0.251, 0.749], [0.995, 0.357, 0.145], [0.918, 0.996, 0.214], [0.418, 0.214, 0.996], [0.255, 0.749, 0.749], [0.082, 0.004, 0.786], [0.005, 0.643, 0.855], [0.427, 0.492, 0.712], [0.927, 0.712, 0.492], [0.245, 0.251, 0.251], [0.573, 0.508, 0.288], [0.582, 0.786, 0.004], [0.073, 0.288, 0.508], [0.495, 0.145, 0.357], [0.505, 0.855, 0.643], [0.750, 0.749, 0.251], [0.745, 0.251, 0.251]], "crystal_system": "monoclinic", "density_g_cm3": 3.9, "e_form_raw_ev_per_fu": -4.1}


[11]
{"formula": "Y2Zn3Si", "functional": "PBE", "state": "relaxed", "cell": [[3.870, 0.000, 0.000], [0.000, 4.214, 0.000], [0.000, 0.000, 7.464]], "species": ["Zn", "Si", "Zn", "Y", "Y", "Zn"], "frac_coords": [[0.500, 0.500, 0.665], [0.500, 0.500, 0.336], [0.500, 0.000, 0.832], [0.000, 0.000, 0.485], [0.000, 0.500, 0.016], [0.500, 0.000, 0.166]], "crystal_system": "orthorhombic", "density_g_cm3": 5.5, "e_form_raw_ev_per_fu": -3.0}


[12]
{"formula": "Pa2Mn2Si3", "functional": "PBE", "state": "relaxed", "cell": [[-2.643, -3.004, -0.846], [3.071, -1.089, -5.725], [6.647, -4.298, 4.383]], "species": ["Mn", "Si", "Pa", "Si", "Mn", "Si", "Pa", "Pa", "Si", "Si", "Pa", "Mn", "Si", "Mn"], "frac_coords": [[0.694, 0.950, 0.388], [0.783, 0.250, 0.565], [0.838, 0.750, 0.677], [0.563, 0.065, 0.126], [0.306, 0.050, 0.612], [0.437, 0.935, 0.874], [0.052, 0.750, 0.103], [0.948, 0.250, 0.897], [0.217, 0.750, 0.435], [0.437, 0.565, 0.874], [0.162, 0.250, 0.323], [0.306, 0.450, 0.612], [0.563, 0.435, 0.126], [0.694, 0.550, 0.388]], "crystal_system": "orthorhombic", "density_g_cm3": 9.2, "e_form_raw_ev_per_fu": -3.7}


[13]
{"formula": "Cr2OsCl", "functional": "PBE", "state": "relaxed", "cell": [[-4.484, -2.624, -2.411], [-0.269, -2.787, -4.996], [2.994, 0.600, 4.845]], "species": ["Cr", "Cl", "Cr", "Os"], "frac_coords": [[0.000, 0.000, 0.000], [0.250, 0.750, 0.500], [0.750, 0.250, 0.500], [0.500, 0.500, 0.000]], "crystal_system": "tetragonal", "density_g_cm3": 8.7, "e_form_raw_ev_per_fu": 3.6, "relative_energy_ev_per_atom": 0.721}


[14]
{"formula": "InTc2Os2", "functional": "PBE", "state": "relaxed", "cell": [[7.671, 0.000, 0.000], [0.000, 7.671, 0.000], [0.000, 0.000, 2.790]], "species": ["Tc", "Tc", "Os", "Os", "Os", "In", "Tc", "Os", "In", "Tc"], "frac_coords": [[0.124, 0.376, 0.000], [0.376, 0.876, 0.000], [0.161, 0.661, 0.500], [0.339, 0.161, 0.500], [0.839, 0.339, 0.500], [0.500, 0.500, 0.000], [0.624, 0.124, 0.000], [0.661, 0.839, 0.500], [0.000, 0.000, 0.000], [0.876, 0.624, 0.000]], "crystal_system": "tetragonal", "density_g_cm3": 14.0, "relative_energy_ev_per_atom": 0.053, "delta_e_f_ev_per_atom": 0.32}


[15]
{"formula": "CuAgSnS3", "functional": "PBE", "state": "relaxed", "cell": [[3.609, 0.000, 0.000], [-1.805, 6.568, 0.000], [0.000, 0.000, 9.714]], "species": ["Cu", "Sn", "Sn", "S", "Ag", "S", "S", "S", "S", "Ag", "S", "Cu"], "frac_coords": [[0.527, 0.054, 0.250], [0.242, 0.485, 0.250], [0.758, 0.515, 0.750], [0.346, 0.692, 0.920], [0.000, 0.000, 0.000], [0.654, 0.308, 0.080], [0.346, 0.692, 0.580], [0.914, 0.828, 0.250], [0.654, 0.308, 0.420], [0.000, 0.000, 0.500], [0.086, 0.172, 0.750], [0.473, 0.946, 0.750]], "crystal_system": "orthorhombic", "density_g_cm3": 5.6, "e_form_raw_ev_per_fu": -0.6}


[16]
{"formula": "CsSmPbO3", "functional": "PBE", "state": "relaxed", "cell": [[-1.856, 1.707, -2.633], [-8.824, -2.894, 4.345], [0.390, 6.471, 3.921]], "species": ["O", "Sm", "O", "O", "O", "O", "Sm", "Pb", "Cs", "O", "Cs", "Pb"], "frac_coords": [[0.250, 0.234, 0.994], [0.750, 0.366, 0.906], [0.750, 0.194, 0.668], [0.250, 0.499, 0.833], [0.750, 0.766, 0.006], [0.750, 0.501, 0.167], [0.250, 0.634, 0.094], [0.750, 0.917, 0.224], [0.750, 0.696, 0.626], [0.250, 0.806, 0.332], [0.250, 0.304, 0.374], [0.250, 0.083, 0.776]], "crystal_system": "monoclinic", "density_g_cm3": 6.3, "e_form_raw_ev_per_fu": -12.6}


[17]
{"formula": "TaAg2Se", "functional": "PBE", "state": "relaxed", "cell": [[-2.016, 2.130, -1.167], [-3.009, -3.230, -0.699], [-1.924, 0.770, 4.727]], "species": ["Ta", "Se", "Ag", "Ag"], "frac_coords": [[0.000, 0.500, 0.500], [0.500, 0.000, 0.500], [0.500, 0.500, 0.000], [0.000, 0.000, 0.000]], "crystal_system": "orthorhombic", "density_g_cm3": 10.8, "e_form_raw_ev_per_fu": 1.2}


[18]
{"formula": "Zr2Be12Co5", "functional": "PBE", "state": "relaxed", "cell": [[-1.395, 2.326, -5.157], [-1.757, -4.954, -2.514], [-5.684, 0.678, 1.087]], "species": ["Co", "Be", "Be", "Be", "Zr", "Be", "Zr", "Co", "Be", "Be", "Co", "Co", "Be", "Be", "Be", "Co", "Be", "Be", "Be"], "frac_coords": [[0.901, 0.901, 0.901], [0.000, 0.714, 0.286], [0.286, 0.714, 0.000], [0.154, 0.657, 0.657], [0.338, 0.338, 0.338], [0.714, 0.000, 0.286], [0.662, 0.662, 0.662], [0.099, 0.099, 0.099], [0.343, 0.846, 0.343], [0.657, 0.657, 0.154], [0.000, 0.500, 0.000], [0.500, 0.000, 0.000], [0.714, 0.286, 0.000], [0.286, 0.000, 0.714], [0.846, 0.343, 0.343], [0.000, 0.000, 0.500], [0.000, 0.286, 0.714], [0.657, 0.154, 0.657], [0.343, 0.343, 0.846]], "crystal_system": "trigonal", "density_g_cm3": 5.0, "delta_e_f_ev_per_atom": -0.27}


[19]
{"formula": "TlPdBr3", "functional": "PBE", "state": "relaxed", "cell": [[6.687, 0.380, -0.367], [0.401, 7.833, -0.286], [-3.396, -0.487, 6.944]], "species": ["Br", "Br", "Br", "Br", "Pd", "Tl", "Tl", "Br", "Br", "Pd"], "frac_coords": [[0.848, 0.016, 0.400], [0.601, 0.552, 0.534], [0.831, 0.926, 0.827], [0.154, 0.376, 0.657], [0.993, 0.151, 0.742], [0.642, 0.380, 0.151], [0.344, 0.921, 0.332], [0.138, 0.286, 0.084], [0.385, 0.750, 0.950], [0.993, 0.651, 0.742]], "crystal_system": "triclinic", "density_g_cm3": 5.2, "e_form_raw_ev_per_fu": -2.6, "relative_energy_ev_per_atom": 0.000}


[20]
{"formula": "CsB12O12", "functional": "PBE", "state": "relaxed", "cell": [[7.495, -4.633, 0.599], [7.495, 4.633, 0.599], [4.053, 0.000, 7.847]], "species": ["O", "O", "B", "B", "O", "O", "O", "Cs", "B", "O", "B", "O", "O", "O", "O", "O", "B", "B", "B", "B", "O", "B", "B", "B", "B"], "frac_coords": [[0.191, 0.191, 0.589], [0.857, 0.391, 0.391], [0.710, 0.497, 0.710], [0.514, 0.215, 0.514], [0.391, 0.391, 0.857], [0.809, 0.809, 0.411], [0.391, 0.857, 0.391], [0.000, 0.000, 0.000], [0.514, 0.514, 0.215], [0.809, 0.411, 0.809], [0.215, 0.514, 0.514], [0.411, 0.809, 0.809], [0.609, 0.143, 0.609], [0.191, 0.589, 0.191], [0.589, 0.191, 0.191], [0.143, 0.609, 0.609], [0.503, 0.290, 0.290], [0.290, 0.290, 0.503], [0.785, 0.486, 0.486], [0.290, 0.503, 0.290], [0.609, 0.609, 0.143], [0.486, 0.486, 0.785], [0.497, 0.710, 0.710], [0.710, 0.710, 0.497], [0.486, 0.785, 0.486]], "crystal_system": "trigonal", "density_g_cm3": 1.4, "e_form_raw_ev_per_fu": -24.5}